1.
Here is an optimized crystal structure of InTcB2Rh from Alexandria via LeMat-Bulk. Energies are from PBE-GGA.

a b c (Å): 4.247 4.247 5.039
angles (deg): 90.00 90.00 90.00
Positions (direct):
In: 0.000 0.000 0.000
Tc: 0.500 0.500 0.500
B: 0.000 0.500 0.000
B: 0.500 0.000 0.000
Rh: 0.000 0.000 0.500

Values from the calculation:
Size of the total moment ... 3.9 μB/f.u.
ΔE_f ... 11.5 eV/f.u.

***

2.
Here is an optimized crystal structure of ThInB2Rh5 from Alexandria via LeMat-Bulk. Energies are from PBE-GGA.

a b c (Å): 4.214 4.214 7.912
angles (deg): 90.00 90.00 90.00
Positions (direct):
Th: 0.000 0.000 0.000
In: 0.000 0.000 0.500
B: 0.500 0.500 0.281
B: 0.500 0.500 0.719
Rh: 0.000 0.500 0.269
Rh: 0.000 0.500 0.731
Rh: 0.500 0.000 0.269
Rh: 0.500 0.000 0.731
Rh: 0.500 0.500 0.000

Values from the calculation:
Size of the total moment ... 0.0 μB/f.u.
ΔE_f ... -5.1 eV/f.u.

***

3.
Here is an optimized crystal structure of Th4InB3Rh12 from Alexandria via LeMat-Bulk. Energies are from PBE-GGA.

a b c (Å): 7.631 7.631 7.631
angles (deg): 109.47 109.47 109.47
Positions (direct):
Th: 0.000 0.000 0.500
Th: 0.000 0.500 0.000
Th: 0.500 0.000 0.000
Th: 0.500 0.500 0.500
In: 0.000 0.000 0.000
B: 0.000 0.500 0.500
B: 0.500 0.000 0.500
B: 0.500 0.500 0.000
Rh: 0.000 0.280 0.280
Rh: 0.000 0.720 0.720
Rh: 0.250 0.500 0.750
Rh: 0.250 0.750 0.500
Rh: 0.280 0.000 0.280
Rh: 0.280 0.280 0.000
Rh: 0.500 0.250 0.750
Rh: 0.500 0.750 0.250
Rh: 0.720 0.000 0.720
Rh: 0.720 0.720 0.000
Rh: 0.750 0.250 0.500
Rh: 0.750 0.500 0.250

Values from the calculation:
Size of the total moment ... 0.0 μB/f.u.
ΔE_f ... -13.9 eV/f.u.

***

4.
Here is an optimized crystal structure of Th3InB2Rh9 from Alexandria via LeMat-Bulk. Energies are from PBE-GGA.

a b c (Å): 5.879 5.879 9.063
angles (deg): 90.00 90.00 120.00
Positions (direct):
Th: 0.000 0.000 0.000
Th: 0.333 0.667 0.692
Th: 0.667 0.333 0.308
In: 0.000 0.000 0.500
B: 0.333 0.667 0.143
B: 0.667 0.333 0.857
Rh: 0.000 0.500 0.000
Rh: 0.164 0.327 0.267
Rh: 0.164 0.836 0.267
Rh: 0.327 0.164 0.733
Rh: 0.500 0.000 0.000
Rh: 0.500 0.500 0.000
Rh: 0.673 0.836 0.267
Rh: 0.836 0.164 0.733
Rh: 0.836 0.673 0.733

Values from the calculation:
Size of the total moment ... 0.0 μB/f.u.
ΔE_f ... -10.5 eV/f.u.

***

5.
Here is an optimized crystal structure of TlIn2B2Rh5 from Alexandria via LeMat-Bulk. Energies are from PBE-GGA.

a b c (Å): 9.795 9.795 3.055
angles (deg): 90.00 90.00 90.00
Positions (direct):
Tl: 0.000 0.000 0.000
Tl: 0.500 0.500 0.000
In: 0.177 0.323 0.000
In: 0.323 0.823 0.000
In: 0.677 0.177 0.000
In: 0.823 0.677 0.000
B: 0.121 0.621 0.000
B: 0.379 0.121 0.000
B: 0.621 0.879 0.000
B: 0.879 0.379 0.000
Rh: 0.000 0.500 0.500
Rh: 0.073 0.773 0.500
Rh: 0.227 0.073 0.500
Rh: 0.273 0.573 0.500
Rh: 0.427 0.273 0.500
Rh: 0.500 0.000 0.500
Rh: 0.573 0.727 0.500
Rh: 0.727 0.427 0.500
Rh: 0.773 0.927 0.500
Rh: 0.927 0.227 0.500

Values from the calculation:
Size of the total moment ... 0.0 μB/f.u.
ΔE_f ... -2.5 eV/f.u.

***

6.
Here is an optimized crystal structure of Tm3InB2Rh9 from Alexandria via LeMat-Bulk. Energies are from PBE-GGA.

a b c (Å): 5.805 5.805 9.048
angles (deg): 90.00 90.00 120.00
Positions (direct):
Tm: 0.000 0.000 0.000
Tm: 0.333 0.667 0.715
Tm: 0.667 0.333 0.285
In: 0.000 0.000 0.500
B: 0.333 0.667 0.145
B: 0.667 0.333 0.855
Rh: 0.000 0.500 0.000
Rh: 0.160 0.320 0.260
Rh: 0.160 0.840 0.260
Rh: 0.320 0.160 0.740
Rh: 0.500 0.000 0.000
Rh: 0.500 0.500 0.000
Rh: 0.680 0.840 0.260
Rh: 0.840 0.160 0.740
Rh: 0.840 0.680 0.740

Values from the calculation:
Size of the total moment ... 0.0 μB/f.u.
ΔE_f ... -8.4 eV/f.u.

***

7.
Here is an optimized crystal structure of Tm4InB3Rh12 from Alexandria via LeMat-Bulk. Energies are from PBE-GGA.

a b c (Å): 7.516 7.516 7.516
angles (deg): 109.47 109.47 109.47
Positions (direct):
Tm: 0.000 0.000 0.500
Tm: 0.000 0.500 0.000
Tm: 0.500 0.000 0.000
Tm: 0.500 0.500 0.500
In: 0.000 0.000 0.000
B: 0.000 0.500 0.500
B: 0.500 0.000 0.500
B: 0.500 0.500 0.000
Rh: 0.000 0.280 0.280
Rh: 0.000 0.720 0.720
Rh: 0.250 0.500 0.750
Rh: 0.250 0.750 0.500
Rh: 0.280 0.000 0.280
Rh: 0.280 0.280 0.000
Rh: 0.500 0.250 0.750
Rh: 0.500 0.750 0.250
Rh: 0.720 0.000 0.720
Rh: 0.720 0.720 0.000
Rh: 0.750 0.250 0.500
Rh: 0.750 0.500 0.250

Values from the calculation:
Size of the total moment ... 0.0 μB/f.u.
ΔE_f ... -10.8 eV/f.u.

***

8.
Here is an optimized crystal structure of Y4InB3Rh12 from Alexandria via LeMat-Bulk. Energies are from PBE-GGA.

a b c (Å): 7.559 7.559 7.559
angles (deg): 109.47 109.47 109.47
Positions (direct):
Y: 0.000 0.000 0.500
Y: 0.000 0.500 0.000
Y: 0.500 0.000 0.000
Y: 0.500 0.500 0.500
In: 0.000 0.000 0.000
B: 0.000 0.500 0.500
B: 0.500 0.000 0.500
B: 0.500 0.500 0.000
Rh: 0.000 0.280 0.280
Rh: 0.000 0.720 0.720
Rh: 0.250 0.500 0.750
Rh: 0.250 0.750 0.500
Rh: 0.280 0.000 0.280
Rh: 0.280 0.280 0.000
Rh: 0.500 0.250 0.750
Rh: 0.500 0.750 0.250
Rh: 0.720 0.000 0.720
Rh: 0.720 0.720 0.000
Rh: 0.750 0.250 0.500
Rh: 0.750 0.500 0.250

Values from the calculation:
Size of the total moment ... 0.0 μB/f.u.
ΔE_f ... -10.4 eV/f.u.

***

9.
Here is an optimized crystal structure of Zn2InBRh from Alexandria via LeMat-Bulk. Energies are from PBE-GGA.

a b c (Å): 4.758 4.758 5.076
angles (deg): 90.00 90.00 90.00
Positions (direct):
Zn: 0.000 0.500 0.000
Zn: 0.500 0.000 0.000
In: 0.000 0.000 0.500
B: 0.500 0.500 0.500
Rh: 0.000 0.000 0.000

Values from the calculation:
Size of the total moment ... 0.0 μB/f.u.
ΔE_f ... 4.8 eV/f.u.

***

10.
Here is an optimized crystal structure of Zn2InB2Rh5 from Alexandria via LeMat-Bulk. Energies are from PBE-GGA.

a b c (Å): 9.612 9.612 2.925
angles (deg): 90.00 90.00 90.00
Positions (direct):
Zn: 0.178 0.322 0.000
Zn: 0.322 0.822 0.000
Zn: 0.678 0.178 0.000
Zn: 0.822 0.678 0.000
In: 0.000 0.000 0.000
In: 0.500 0.500 0.000
B: 0.124 0.624 0.000
B: 0.376 0.124 0.000
B: 0.624 0.876 0.000
B: 0.876 0.376 0.000
Rh: 0.000 0.500 0.500
Rh: 0.072 0.776 0.500
Rh: 0.224 0.072 0.500
Rh: 0.276 0.572 0.500
Rh: 0.428 0.276 0.500
Rh: 0.500 0.000 0.500
Rh: 0.572 0.724 0.500
Rh: 0.724 0.428 0.500
Rh: 0.776 0.928 0.500
Rh: 0.928 0.224 0.500

Values from the calculation:
Size of the total moment ... 0.0 μB/f.u.
ΔE_f ... -3.6 eV/f.u.

***

11.
Here is an optimized crystal structure of ZnIn2B2Rh5 from Alexandria via LeMat-Bulk. Energies are from PBE-GGA.

a b c (Å): 9.591 9.591 2.962
angles (deg): 90.00 90.00 90.00
Positions (direct):
Zn: 0.000 0.000 0.000
Zn: 0.500 0.500 0.000
In: 0.177 0.323 0.000
In: 0.323 0.823 0.000
In: 0.677 0.177 0.000
In: 0.823 0.677 0.000
B: 0.126 0.626 0.000
B: 0.374 0.126 0.000
B: 0.626 0.874 0.000
B: 0.874 0.374 0.000
Rh: 0.000 0.500 0.500
Rh: 0.070 0.782 0.500
Rh: 0.218 0.070 0.500
Rh: 0.282 0.570 0.500
Rh: 0.430 0.282 0.500
Rh: 0.500 0.000 0.500
Rh: 0.570 0.718 0.500
Rh: 0.718 0.430 0.500
Rh: 0.782 0.930 0.500
Rh: 0.930 0.218 0.500

Values from the calculation:
Size of the total moment ... 0.0 μB/f.u.
ΔE_f ... -4.0 eV/f.u.

***

12.
Here is an optimized crystal structure of Zr2InB2Rh5 from Alexandria via LeMat-Bulk. Energies are from PBE-GGA.

a b c (Å): 9.414 9.414 3.249
angles (deg): 90.00 90.00 90.00
Positions (direct):
Zr: 0.175 0.325 0.000
Zr: 0.325 0.825 0.000
Zr: 0.675 0.175 0.000
Zr: 0.825 0.675 0.000
In: 0.000 0.000 0.000
In: 0.500 0.500 0.000
B: 0.122 0.622 0.000
B: 0.378 0.122 0.000
B: 0.622 0.878 0.000
B: 0.878 0.378 0.000
Rh: 0.000 0.500 0.500
Rh: 0.071 0.776 0.500
Rh: 0.224 0.071 0.500
Rh: 0.276 0.571 0.500
Rh: 0.429 0.276 0.500
Rh: 0.500 0.000 0.500
Rh: 0.571 0.724 0.500
Rh: 0.724 0.429 0.500
Rh: 0.776 0.929 0.500
Rh: 0.929 0.224 0.500

Values from the calculation:
Size of the total moment ... 0.0 μB/f.u.
ΔE_f ... -7.4 eV/f.u.